Entry 1:
{"formula": "CaLa2Co", "functional": "GGA-PBEsol", "state": "optimized geometry", "lattice_angstrom": [[3.653, 0.000, 0.000], [0.000, 5.829, 0.000], [-1.826, -2.914, 5.264]], "species": ["Co", "La", "La", "Ca"], "fractional_positions": [[0.500, 0.000, 0.000], [0.179, 0.179, 0.357], [0.821, 0.821, 0.643], [0.000, 0.500, 0.000]], "de_polymorph_mev_per_atom": 46, "dos_at_fermi_per_ev_fu": 3.98, "formation_energy_mev_per_atom": 11.5}


Entry 2:
{"formula": "KYTa2Br", "functional": "GGA-PBEsol", "state": "optimized geometry", "lattice_angstrom": [[-3.457, -0.069, -3.559], [-3.065, -2.465, 3.025], [-2.601, 6.186, 2.406]], "species": ["Y", "K", "Br", "Ta", "Ta"], "fractional_positions": [[0.000, 0.000, 0.000], [0.000, 0.000, 0.500], [0.500, 0.500, 0.500], [0.000, 0.500, 0.000], [0.500, 0.000, 0.000]], "e_form_raw_ev_per_atom": 1.907, "dos_at_fermi_per_ev_fu": 7.11}


Entry 3:
{"formula": "Zn2SbMo", "functional": "GGA-PBEsol", "state": "optimized geometry", "lattice_angstrom": [[-2.169, 2.897, -1.185], [-3.269, -2.286, 0.395], [2.287, 1.001, 4.378]], "species": ["Sb", "Zn", "Zn", "Mo"], "fractional_positions": [[0.251, 0.751, 0.503], [0.746, 0.246, 0.493], [0.004, 0.004, 0.007], [0.499, 0.499, 0.997]], "e_form_raw_ev_per_atom": 0.151, "dos_at_fermi_per_ev_fu": 2.15}


The evaluated DFT total energy for the records listed, in turn: -20.517; -25.395; -18.886 eV per cell.